Record 1
Below is PmMg2Ge2Pd2 after structural relaxation, with properties calculated at the GGA-PBE level.

The structure in POSCAR format:
```
PmMg2Ge2Pd2
1.0
2.189 1.264 8.066
-2.189 1.264 8.066
0.000 -2.528 8.066
Pm Mg Ge Pd
1 2 2 2
direct
0.000 0.000 0.000
0.138 0.138 0.138
0.862 0.862 0.862
0.258 0.258 0.258
0.742 0.742 0.742
0.430 0.430 0.430
0.570 0.570 0.570
```

Calculated values
Crystal system: trigonal
Energy relative to the elements, meV/atom: -684.5



Record 2
Below is Rb3CdAu2 after structural relaxation, with properties calculated at the GGA-PBE level.

The structure in POSCAR format:
```
Rb3CdAu2
1.0
9.129 0.000 0.000
0.000 9.747 0.000
-2.735 0.000 10.485
Rb Cd Au
12 4 8
direct
0.169 0.092 0.460
0.169 0.408 0.960
0.209 0.055 0.105
0.209 0.445 0.605
0.306 0.714 0.347
0.306 0.786 0.847
0.694 0.214 0.153
0.694 0.286 0.653
0.791 0.555 0.395
0.791 0.945 0.895
0.831 0.592 0.040
0.831 0.908 0.540
0.411 0.153 0.810
0.411 0.347 0.310
0.589 0.653 0.690
0.589 0.847 0.190
0.084 0.120 0.765
0.084 0.380 0.265
0.495 0.553 0.131
0.495 0.947 0.631
0.505 0.053 0.369
0.505 0.447 0.869
0.916 0.620 0.735
0.916 0.880 0.235
```

Calculated values
Crystal system: monoclinic
Energy relative to the elements, meV/atom: -203.9
Energy above the lowest structure with this stoichiometry, eV per atom: 0.000



Record 3
Below is Tb2ErMg after structural relaxation, with properties calculated at the GGA-PBE level.

The structure in POSCAR format:
```
Tb2ErMg
1.0
1.719 0.992 12.215
-1.719 0.992 12.215
0.000 -1.985 12.215
Tb Er Mg
2 1 1
direct
0.090 0.090 0.090
0.910 0.910 0.910
0.500 0.500 0.500
0.000 0.000 0.000
```

Calculated values
Crystal system: trigonal
Energy relative to the elements, meV/atom: 185.3
Energy above the lowest structure with this stoichiometry, eV per atom: 0.211



Record 4
Below is PmYN after structural relaxation, with properties calculated at the GGA-PBE level.

The structure in POSCAR format:
```
PmYN
1.0
3.554 0.000 0.000
-1.777 3.078 0.000
0.000 0.000 6.187
Pm Y N
1 1 1
direct
0.000 0.000 0.000
0.333 0.667 0.439
0.667 0.333 0.238
```

Calculated values
Crystal system: trigonal
Energy above the lowest structure with this stoichiometry, eV per atom: 0.000
Formation energy without anion corrections, eV/atom: -0.965



Record 5
Below is ZnSe after structural relaxation, with properties calculated at the GGA-PBE level.

The structure in POSCAR format:
```
ZnSe
1.0
7.200 0.000 0.000
0.000 7.322 0.000
0.000 0.000 8.378
Zn Se
8 8
direct
0.129 0.065 0.238
0.157 0.606 0.966
0.343 0.394 0.466
0.371 0.935 0.738
0.629 0.435 0.762
0.657 0.894 0.034
0.843 0.106 0.534
0.871 0.565 0.262
0.171 0.407 0.211
0.192 0.100 0.538
0.308 0.900 0.038
0.329 0.593 0.711
0.671 0.093 0.789
0.692 0.400 0.462
0.808 0.600 0.962
0.829 0.907 0.289
```

Calculated values
Crystal system: orthorhombic
Formation energy without anion corrections, eV/atom: -0.563



Record 6
Below is Y8Co2Os after structural relaxation, with properties calculated at the GGA-PBE level.

The structure in POSCAR format:
```
Y8Co2Os
1.0
4.081 -6.204 0.000
4.081 6.204 0.000
-1.903 0.000 5.691
Y Co Os
8 2 1
direct
0.000 0.000 0.000
0.026 0.286 0.583
0.144 0.572 0.184
0.286 0.026 0.583
0.438 0.701 0.770
0.572 0.144 0.184
0.701 0.438 0.770
0.716 0.716 0.367
0.052 0.675 0.681
0.675 0.052 0.681
0.354 0.354 0.344
```

Calculated values
Crystal system: monoclinic
Energy relative to the elements, meV/atom: -53.3



Record 7
Below is CeDy2Hg after structural relaxation, with properties calculated at the GGA-PBE level.

The structure in POSCAR format:
```
CeDy2Hg
1.0
0.000 3.763 3.763
3.763 0.000 3.763
3.763 3.763 0.000
Ce Dy Hg
1 2 1
direct
0.000 0.000 0.000
0.250 0.250 0.250
0.750 0.750 0.750
0.500 0.500 0.500
```

Calculated values
Crystal system: cubic
Energy relative to the elements, meV/atom: 11.9
Energy above the lowest structure with this stoichiometry, eV per atom: 0.207



Record 8
Below is PuZnSi2 after structural relaxation, with properties calculated at the GGA-PBE level.

The structure in POSCAR format:
```
PuZnSi2
1.0
2.774 -4.496 0.000
2.774 4.496 0.000
0.000 0.000 2.794
Pu Zn Si
1 1 2
direct
0.000 0.000 0.000
0.500 0.500 0.500
0.000 0.500 0.500
0.500 0.000 0.500
```

Calculated values
Crystal system: orthorhombic
Formation energy without anion corrections, eV/atom: -0.172



Record 9
Below is Dy3TlRh4 after structural relaxation, with properties calculated at the GGA-PBE level.

The structure in POSCAR format:
```
Dy3TlRh4
1.0
4.747 0.000 0.000
0.000 4.747 0.000
0.000 0.000 6.888
Dy Tl Rh
3 1 4
direct
0.000 0.000 0.000
0.000 0.000 0.500
0.500 0.500 0.000
0.500 0.500 0.500
0.000 0.500 0.246
0.000 0.500 0.754
0.500 0.000 0.246
0.500 0.000 0.754
```

Calculated values
Crystal system: tetragonal
Energy relative to the elements, meV/atom: -700.1



Record 10
Below is MnAlP2 after structural relaxation, with properties calculated at the GGA-PBE level.

The structure in POSCAR format:
```
MnAlP2
1.0
3.515 0.000 0.000
0.000 3.523 0.000
-0.023 0.000 5.015
Mn Al P
1 1 2
direct
0.000 0.000 0.000
0.502 0.500 0.500
0.002 0.000 0.500
0.500 0.500 0.000
```

Calculated values
Crystal system: monoclinic
Energy relative to the elements, meV/atom: -268.2



Record 11
Below is PrThGe2Rh5 after structural relaxation, with properties calculated at the GGA-PBE level.

The structure in POSCAR format:
```
PrThGe2Rh5
1.0
4.281 0.000 0.000
0.000 4.281 0.000
0.000 0.000 8.970
Pr Th Ge Rh
1 1 2 5
direct
0.000 0.000 0.000
0.000 0.000 0.500
0.500 0.500 0.357
0.500 0.500 0.643
0.000 0.500 0.235
0.000 0.500 0.765
0.500 0.000 0.235
0.500 0.000 0.765
0.500 0.500 0.000
```

Calculated values
Crystal system: tetragonal
Energy relative to the elements, meV/atom: -723.7



Record 12
Below is RbTcCl3 after structural relaxation, with properties calculated at the GGA-PBE level.

The structure in POSCAR format:
```
RbTcCl3
1.0
5.812 0.000 0.000
0.000 5.812 0.000
0.000 0.000 5.812
Rb Tc Cl
1 1 3
direct
0.000 0.000 0.000
0.500 0.500 0.500
0.000 0.000 0.500
0.000 0.500 0.000
0.500 0.000 0.000
```

Calculated values
Crystal system: cubic
Formation energy without anion corrections, eV/atom: 0.412



no.,calculated volume (A^3/atom)
1,19.1
2,38.9
3,31.2
4,22.6
5,27.6
6,26.2
7,26.6
8,17.4
9,19.4
10,15.5
11,18.3
12,39.3